The following is a DFT calculation (PBE) of an optimized crystal structure of Rb2BaB.

Lattice parameters (Å, degrees): 11.3481 11.3481 4.4657 101.09 101.09 22.70
Fractional coordinates of all 4 atoms:
Rb 0.1532 0.1532 0.1480
Rb 0.8468 0.8468 0.8520
Ba 0.5000 0.5000 0.5000
B 0.0000 0.0000 0.0000

Calculated values
For the formation energy, the calculation gives 2.66 eV per formula unit.